1.
{
  "formula": "CaInBr2",
  "functional": "PBE",
  "state": "relaxed",
  "lattice_angstrom": [[5.2558, 0.0000, 0.0000], [-2.1103, 7.2215, 0.0000], [-1.1342, -0.6055, 8.0571]],
  "species": ["Ca", "Ca", "In", "In", "Br", "Br", "Br", "Br"],
  "fractional_positions": [[0.0000, 0.0000, 0.0000], [0.4588, 0.4782, 0.7931], [0.2382, 0.1864, 0.4468], [0.6488, 0.0148, 0.3718], [0.4333, 0.7976, 0.0142], [0.4673, 0.3095, 0.1205], [0.8492, 0.7801, 0.6772], [0.8914, 0.2934, 0.8001]],
  "relative_energy_mev_per_atom": 73,
  "e_form_raw_mev_per_atom": -1205
}

2.
{
  "formula": "K4ZnNi",
  "functional": "PBE",
  "state": "relaxed",
  "lattice_angstrom": [[0.0000, 5.2901, 5.2901], [5.2901, 0.0000, 5.2901], [5.2901, 5.2901, 0.0000]],
  "species": ["K", "K", "K", "K", "Zn", "Ni"],
  "fractional_positions": [[0.1242, 0.1242, 0.1242], [0.1242, 0.1242, 0.6275], [0.1242, 0.6275, 0.1242], [0.6275, 0.1242, 0.1242], [0.5000, 0.5000, 0.5000], [0.7500, 0.7500, 0.7500]],
  "e_form_ev_per_atom": 0.752,
  "dos_at_fermi_per_ev_atom": 1.8168
}

3.
{
  "formula": "HoBe4Fe",
  "functional": "PBE",
  "state": "relaxed",
  "lattice_angstrom": [[0.0000, 3.2510, 3.2510], [3.2510, 0.0000, 3.2510], [3.2510, 3.2510, 0.0000]],
  "species": ["Ho", "Be", "Be", "Be", "Be", "Fe"],
  "fractional_positions": [[0.0000, 0.0000, 0.0000], [0.1359, 0.6214, 0.6214], [0.6214, 0.1359, 0.6214], [0.6214, 0.6214, 0.1359], [0.6214, 0.6214, 0.6214], [0.2500, 0.2500, 0.2500]],
  "e_form_ev_per_atom": -0.026,
  "dos_at_fermi_per_ev_atom": 0.8263
}

4.
{
  "formula": "Mg3ScAu4",
  "functional": "PBE",
  "state": "relaxed",
  "lattice_angstrom": [[4.7135, 0.0000, 0.0000], [0.0000, 4.7135, 0.0000], [0.0000, 0.0000, 6.6623]],
  "species": ["Mg", "Mg", "Mg", "Sc", "Au", "Au", "Au", "Au"],
  "fractional_positions": [[0.0000, 0.0000, 0.0000], [0.0000, 0.0000, 0.5000], [0.5000, 0.5000, 0.0000], [0.5000, 0.5000, 0.5000], [0.0000, 0.5000, 0.2498], [0.0000, 0.5000, 0.7502], [0.5000, 0.0000, 0.2498], [0.5000, 0.0000, 0.7502]],
  "e_form_ev_per_atom": -0.670,
  "dos_at_fermi_per_ev_atom": 0.3218
}

5.
{
  "formula": "ZrSb3Os",
  "functional": "PBE",
  "state": "relaxed",
  "lattice_angstrom": [[5.1515, 0.0000, 0.0000], [0.0000, 5.1515, 0.0000], [0.0000, 0.0000, 5.1515]],
  "species": ["Zr", "Sb", "Sb", "Sb", "Os"],
  "fractional_positions": [[0.0000, 0.0000, 0.0000], [0.0000, 0.5000, 0.5000], [0.5000, 0.0000, 0.5000], [0.5000, 0.5000, 0.0000], [0.5000, 0.5000, 0.5000]],
  "dos_at_fermi_per_ev_atom": 1.4672,
  "relative_energy_mev_per_atom": 0,
  "e_form_raw_mev_per_atom": 818
}

6.
{
  "formula": "AcNpRhO6",
  "functional": "PBE",
  "state": "relaxed",
  "lattice_angstrom": [[5.8794, 0.0000, 0.0000], [-2.9397, 5.0917, 0.0000], [0.0000, 0.0000, 8.3801]],
  "species": ["Ac", "Ac", "Np", "Np", "Rh", "Rh", "O", "O", "O", "O", "O", "O", "O", "O", "O", "O", "O", "O"],
  "fractional_positions": [[0.3333, 0.6667, 0.2500], [0.6667, 0.3333, 0.7500], [0.3333, 0.6667, 0.7500], [0.6667, 0.3333, 0.2500], [0.0000, 0.0000, 0.0000], [0.0000, 0.0000, 0.5000], [0.0601, 0.3461, 0.6160], [0.0601, 0.7139, 0.8840], [0.2861, 0.3461, 0.8840], [0.2861, 0.9399, 0.6160], [0.3461, 0.0601, 0.1160], [0.3461, 0.2861, 0.3840], [0.6539, 0.7139, 0.6160], [0.6539, 0.9399, 0.8840], [0.7139, 0.0601, 0.3840], [0.7139, 0.6539, 0.1160], [0.9399, 0.2861, 0.1160], [0.9399, 0.6539, 0.3840]],
  "dos_at_fermi_per_ev_atom": 0.0899,
  "e_form_raw_mev_per_atom": -2141
}

7.
{
  "formula": "TbDy4Hg2",
  "functional": "PBE",
  "state": "relaxed",
  "lattice_angstrom": [[2.5311, 1.4613, 10.1164], [-2.5311, 1.4613, 10.1164], [0.0000, -2.9227, 10.1164]],
  "species": ["Tb", "Dy", "Dy", "Dy", "Dy", "Hg", "Hg"],
  "fractional_positions": [[0.0000, 0.0000, 0.0000], [0.2032, 0.2032, 0.2032], [0.3930, 0.3930, 0.3930], [0.6070, 0.6070, 0.6070], [0.7968, 0.7968, 0.7968], [0.1009, 0.1009, 0.1009], [0.8991, 0.8991, 0.8991]],
  "e_form_ev_per_atom": 0.033,
  "dos_at_fermi_per_ev_atom": 1.2111
}

8.
{
  "formula": "TbDy4Tl7",
  "functional": "PBE",
  "state": "relaxed",
  "lattice_angstrom": [[6.7355, -2.8367, 0.0000], [6.7355, 2.8367, 0.0000], [-6.2817, 0.0000, 9.4984]],
  "species": ["Tb", "Dy", "Dy", "Dy", "Dy", "Tl", "Tl", "Tl", "Tl", "Tl", "Tl", "Tl"],
  "fractional_positions": [[0.0000, 0.0000, 0.0000], [0.2799, 0.2799, 0.6726], [0.4150, 0.4150, 0.2168], [0.5850, 0.5850, 0.7832], [0.7201, 0.7201, 0.3274], [0.0818, 0.0818, 0.3261], [0.2141, 0.2141, 0.8967], [0.3668, 0.3668, 0.4567], [0.5000, 0.5000, 0.0000], [0.6332, 0.6332, 0.5433], [0.7859, 0.7859, 0.1033], [0.9182, 0.9182, 0.6739]],
  "e_form_ev_per_atom": -0.112,
  "dos_at_fermi_per_ev_atom": 0.5425
}

| no. | total energy (eV per atom) |
| --- | --- |
| 1 | -3.227 |
| 2 | -1.155 |
| 3 | -4.684 |
| 4 | -3.699 |
| 5 | -5.611 |
| 6 | -8.158 |
| 7 | -3.344 |
| 8 | -3.412 |